The following is a GGA-PBE calculation of a relaxed Sm2ErTe3 crystal, from OQMD.

```
6
Lattice="4.3988 0.0000 0.0000 -2.1994 3.8094 0.0000 0.0000 0.0000 10.7830" Properties=species:S:1:pos:R:3 pbc="T T T"
Te 0.0000 2.5396 7.1006
Te 2.1994 1.2698 3.6824
Sm 2.1994 1.2698 8.9748
Er 0.0000 0.0000 5.3915
Te 0.0000 0.0000 0.0000
Sm 0.0000 2.5396 1.8082
```

Output
Space group   No. 164
Energy   -5.232 eV/atom

***

The following is a GGA-PBE calculation of a relaxed Na2TaAl2MoOs2 crystal, from OQMD.

```
8
Lattice="-1.2872 2.2317 3.6315 -4.2234 -0.1555 -1.4014 -0.8135 -5.4408 3.0552" Properties=species:S:1:pos:R:3 pbc="T T T"
Al -2.7553 1.0381 1.1151
Na -2.7252 -4.1807 1.6033
Na -0.8436 -0.2219 2.5670
Mo 0.0000 0.0000 0.0000
Os -2.3095 -1.4007 0.0422
Os -1.2593 -3.0019 4.1281
Ta -3.1620 -1.6823 2.6427
Al -0.4067 -2.7204 1.5276
```

Output
Space group   No. 115
Energy   -6.747 eV/atom

***

The following is a GGA-PBE calculation of a relaxed InTe4PtAu3 crystal, from OQMD.

```
9
Lattice="-3.5980 -0.9357 -5.3202 -3.1627 -4.8173 2.9861 -4.3792 4.2478 2.2146" Properties=species:S:1:pos:R:3 pbc="T T T"
Pt -5.5699 -0.7526 -0.0597
Au -3.9886 1.6561 -1.5528
In 0.0000 0.0000 0.0000
Au -3.7709 -0.2847 2.6003
Te -6.7349 1.2144 -1.5337
Te -6.1462 -3.1724 -1.1603
Te -2.8745 -0.3884 -0.0308
Au -3.3803 -2.8765 -1.1670
Te -6.5242 -0.6640 2.4859
```

Output
Space group   No. 215
Energy   -3.446 eV/atom

***

- energy of number 3 (InTe4PtAu3)?
  -3.446 eV/atom

***

- Which of these has the lowest energy?
  Na2TaAl2MoOs2

***

- energy of number 2 (Na2TaAl2MoOs2)?
  -6.747 eV/atom